{"formula": "CaDyMn4O12", "functional": "PBE with a Hubbard U", "state": "optimized geometry", "cell": [[-5.1171, -0.9848, 0.7753], [1.3257, -3.2470, 3.9312], [-0.3689, 5.7596, 4.8816]], "species": ["O", "O", "O", "O", "O", "O", "O", "O", "O", "O", "O", "O", "Ca", "Mn", "Mn", "Mn", "Mn", "Dy"], "frac_coords": [[0.6961, 0.6972, 0.2478], [0.6961, 0.6972, 0.7522], [0.3028, 0.3039, 0.2478], [0.8052, 0.1948, 0.2011], [0.4504, 0.9633, 0.0000], [0.1925, 0.8075, 0.2840], [0.3028, 0.3039, 0.7522], [0.8052, 0.1948, 0.7989], [0.5518, 0.0523, 0.5000], [0.0367, 0.5496, 0.0000], [0.9477, 0.4482, 0.5000], [0.1925, 0.8075, 0.7160], [0.4829, 0.5171, 0.5000], [0.5045, 0.0011, 0.2522], [0.9989, 0.4955, 0.7478], [0.9989, 0.4955, 0.2522], [0.5045, 0.0011, 0.7478], [0.0268, 0.9732, 0.0000]], "sg": "Amm2", "crystal_system": "orthorhombic", "magmom_total_mub_per_fu": 9.0, "final_energy_ev_per_atom": -6.812, "n_ef_per_ev_fu": 13.3}